(1)
Computed, not measured: crystalline LiSc2Te at its relaxed geometry at the PBE level of DFT.

Cell: 7.8480 7.8480 6.3457 Å, 51.80 51.80 90.00°
With the nearest neighbours (Å) after each atom.
Atoms (fractional coordinates):
Li (0.5000, 0.5000, 0.0000)  4 Sc 2.88, 2 Te 3.08
Li (0.2500, 0.7500, 0.5000)  4 Sc 2.88, 2 Te 3.08
Te (0.0000, 0.0000, 0.0000)  4 Sc 2.88, 2 Li 3.08
Te (0.7500, 0.2500, 0.5000)  4 Sc 2.88, 2 Li 3.08
Sc (0.3750, 0.3745, 0.7500)  2 Te 2.88, 2 Li 2.88, 2 Sc 3.08
Sc (0.8750, 0.8755, 0.7500)  2 Te 2.88, 2 Li 2.88, 2 Sc 3.08
Sc (0.6255, 0.1250, 0.2500)  2 Te 2.88, 2 Li 2.88, 2 Sc 3.08
Sc (0.1245, 0.6250, 0.2500)  2 Te 2.88, 2 Li 2.88, 2 Sc 3.08

## Properties
Raw formation energy: -0.185 eV/atom
Fermi-level density of states: 9.632 states/eV per cell

***

(2)
Computed, not measured: crystalline CsUSbO5 at its relaxed geometry at the PBE level of DFT.

Cell: 6.5928 6.5928 8.1522 Å, 100.00 100.00 106.62°
With the nearest neighbours (Å) after each atom.
Atoms (fractional coordinates):
O (0.8977, 0.2852, 0.1140)  1 Sb 1.95
O (0.8258, 0.6942, 0.4509)  1 U 1.94
O (0.9404, 0.0596, 0.7500)  2 U 2.13
O (0.0596, 0.9404, 0.2500)  2 U 2.13
O (0.2852, 0.8977, 0.6140)  1 Sb 1.95
O (0.3058, 0.1742, 0.0491)  1 U 1.94
O (0.6942, 0.8258, 0.9509)  1 U 1.94
O (0.1742, 0.3058, 0.5491)  1 U 1.94
O (0.7148, 0.1023, 0.3860)  1 Sb 1.95
O (0.1023, 0.7148, 0.8860)  1 Sb 1.95
U (0.0000, 0.0000, 0.5000)  4 O 1.94-2.13
U (0.0000, 0.0000, 0.0000)  4 O 1.94-2.13
Cs (0.6595, 0.3405, 0.7500)  7 O 2.97-3.26
Cs (0.3405, 0.6595, 0.2500)  7 O 2.97-3.26
Sb (0.3137, 0.6863, 0.7500)  2 O 1.95
Sb (0.6863, 0.3137, 0.2500)  2 O 1.95

## Properties
Raw formation energy: -2.271 eV/atom
Fermi-level density of states: 0.000 states/eV per cell

***

(3)
Computed, not measured: crystalline RhSeBr2 at its relaxed geometry at the PBE level of DFT.

Cell: 3.6193 5.2899 6.3522 Å, 54.50 90.00 90.00°
With the nearest neighbours (Å) after each atom.
Atoms (fractional coordinates):
Se (0.5000, 0.6639, 0.6513)  2 Rh 2.38
Br (0.5000, 0.3008, 0.3495)  2 Rh 2.61, 1 Se 2.74
Br (0.0000, 0.0119, 0.0033)  2 Rh 2.66-2.75
Rh (0.0000, 0.5234, 0.4959)  2 Se 2.38, 3 Br 2.61-2.66

## Properties
Raw formation energy: -0.176 eV/atom
Fermi-level density of states: 1.856 states/eV per cell
Relative energy among the computed polymorphs: 0.32 eV per formula unit

***

(4)
Computed, not measured: crystalline NiOs2Pd at its relaxed geometry at the PBE level of DFT.

Cell: 3.6847 3.6847 9.3337 Å, 78.62 78.62 90.00°
With the nearest neighbours (Å) after each atom.
Atoms (fractional coordinates):
Pd (0.7500, 0.2500, 0.5000)  4 Ni 2.61, 4 Os 2.64
Pd (0.0000, 0.0000, 0.0000)  4 Ni 2.61, 4 Os 2.64
Os (0.1617, 0.6250, 0.2500)  2 Os 2.42, 2 Ni 2.55, 2 Pd 2.64
Os (0.5883, 0.1250, 0.2500)  2 Os 2.42, 2 Ni 2.55, 2 Pd 2.64
Os (0.8750, 0.8383, 0.7500)  2 Os 2.42, 2 Ni 2.55, 2 Pd 2.64
Os (0.3750, 0.4117, 0.7500)  2 Os 2.42, 2 Ni 2.55, 2 Pd 2.64
Ni (0.2500, 0.7500, 0.5000)  4 Os 2.55, 4 Pd 2.61
Ni (0.5000, 0.5000, 0.0000)  4 Os 2.55, 4 Pd 2.61

## Properties
Fermi-level density of states: 7.107 states/eV per cell
DFT formation energy: 0.679 eV per atom
Relative energy among the computed polymorphs: 0.29 eV per formula unit

***

(5)
Computed, not measured: crystalline BAsC2 at its relaxed geometry at the PBE level of DFT.

Cell: 3.4990 3.8128 4.1631 Å, 90.00 114.59 90.00°
With the nearest neighbours (Å) after each atom.
Atoms (fractional coordinates):
As (0.7916, 0.0000, 0.8436)  2 C 1.98, 2 B 2.13
C (0.9969, 0.3247, 0.2519)  1 C 1.34
C (0.9969, 0.6753, 0.2519)  1 C 1.34
B (0.1319, 0.0000, 0.5212)  2 C 1.60

## Properties
Fermi-level density of states: 0.283 states/eV per cell
DFT formation energy: 0.492 eV per atom
Relative energy among the computed polymorphs: 0.38 eV per formula unit

***

(6)
Computed, not measured: crystalline Tl2CuRh at its relaxed geometry at the PBE level of DFT.

Cell: 6.3980 6.3980 4.4799 Å, 69.49 69.49 28.73°
With the nearest neighbours (Å) after each atom.
Atoms (fractional coordinates):
Tl (0.7368, 0.7368, 0.7633)  4 Rh 2.75, 2 Cu 3.03-3.04
Tl (0.9611, 0.9611, 0.0390)  4 Cu 2.97, 2 Rh 2.99, 2 Tl 3.17
Rh (0.2422, 0.2422, 0.2579)  2 Cu 2.64, 4 Tl 2.75
Cu (0.5598, 0.5598, 0.4399)  2 Rh 2.64

## Properties
Fermi-level density of states: 2.224 states/eV per cell
DFT formation energy: 0.190 eV per atom
Relative energy among the computed polymorphs: 0.15 eV per formula unit

***

(7)
Computed, not measured: crystalline NaAl2Au2 at its relaxed geometry at the PBE level of DFT.

Cell: 4.2379 4.2379 6.4733 Å, 70.89 70.89 90.00°
With the nearest neighbours (Å) after each atom.
Atoms (fractional coordinates):
Au (0.3793, 0.3793, 0.2414)  4 Al 2.59, 1 Au 2.77
Au (0.6207, 0.6207, 0.7586)  4 Al 2.59, 1 Au 2.77
Na (0.0000, 0.0000, 0.0000)  8 Au 3.30, 8 Al 3.57
Al (0.2500, 0.7500, 0.5000)  4 Au 2.59
Al (0.7500, 0.2500, 0.5000)  4 Au 2.59

## Properties
Fermi-level density of states: 1.907 states/eV per cell
DFT formation energy: -0.367 eV per atom
Relative energy among the computed polymorphs: 0.02 eV per formula unit

***

(8)
Computed, not measured: crystalline Tb2EuV at its relaxed geometry at the PBE level of DFT.

Cell: 3.5221 3.5221 11.0451 Å, 80.83 80.83 60.00°
With the nearest neighbours (Å) after each atom.
Atoms (fractional coordinates):
V (0.0000, 0.0000, 0.0000)  6 Tb 3.00
Eu (0.5000, 0.5000, 0.5000)  6 Eu 3.52, 6 Tb 3.81
Tb (0.7342, 0.7342, 0.7973)  3 V 3.00
Tb (0.2658, 0.2658, 0.2027)  3 V 3.00

## Properties
Fermi-level density of states: 4.292 states/eV per cell
DFT formation energy: 0.378 eV per atom

***

(9)
Computed, not measured: crystalline Tm2Al2ZnPt5 at its relaxed geometry at the PBE level of DFT.

Cell: 3.6555 9.7301 9.7301 Å, 90.00 90.00 90.00°
With the nearest neighbours (Å) after each atom.
Atoms (fractional coordinates):
Pt (0.5000, 0.9346, 0.2043)  2 Al 2.54, 2 Zn 2.77
Pt (0.5000, 0.5000, 0.0000)  4 Al 2.50
Pt (0.5000, 0.0654, 0.7957)  2 Al 2.54, 2 Zn 2.77
Pt (0.5000, 0.2043, 0.0654)  2 Al 2.54, 2 Zn 2.77
Pt (0.5000, 0.2957, 0.5654)  2 Al 2.54, 2 Zn 2.77
Pt (0.5000, 0.0000, 0.5000)  4 Al 2.50
Pt (0.5000, 0.5654, 0.7043)  2 Al 2.54, 2 Zn 2.77
Pt (0.5000, 0.7043, 0.4346)  2 Al 2.54, 2 Zn 2.77
Pt (0.5000, 0.7957, 0.9346)  2 Al 2.54, 2 Zn 2.77
Pt (0.5000, 0.4346, 0.2957)  2 Al 2.54, 2 Zn 2.77
Al (0.0000, 0.3764, 0.1236)  6 Pt 2.50-2.54, 1 Tm 2.76
Al (0.0000, 0.1236, 0.6236)  6 Pt 2.50-2.54, 1 Tm 2.76
Al (0.0000, 0.8764, 0.3764)  6 Pt 2.50-2.54, 1 Tm 2.76
Al (0.0000, 0.6236, 0.8764)  6 Pt 2.50-2.54, 1 Tm 2.76
Tm (0.0000, 0.1757, 0.3243)  3 Al 2.76-2.96, 2 Pt 3.03
Tm (0.0000, 0.3243, 0.8243)  3 Al 2.76-2.96, 2 Pt 3.03
Tm (0.0000, 0.8243, 0.6757)  3 Al 2.76-2.96, 2 Pt 3.03
Tm (0.0000, 0.6757, 0.1757)  3 Al 2.76-2.96, 2 Pt 3.03
Zn (0.0000, 0.0000, 0.0000)  8 Pt 2.77
Zn (0.0000, 0.5000, 0.5000)  8 Pt 2.77

## Properties
Fermi-level density of states: 8.903 states/eV per cell
DFT formation energy: -0.954 eV per atom

***

(10)
Computed, not measured: crystalline Pr2Sm2DyY2 at its relaxed geometry at the PBE level of DFT.

Cell: 5.7686 5.7686 8.8923 Å, 71.07 71.07 60.00°
With the nearest neighbours (Å) after each atom.
Atoms (fractional coordinates):
Y (0.4271, 0.4271, 0.7186)  4 Sm 3.51-3.53, 3 Pr 3.51, 1 Y 3.60
Y (0.5729, 0.5729, 0.2814)  4 Sm 3.51-3.53, 3 Pr 3.51, 1 Y 3.60
Dy (0.0000, 0.0000, 0.0000)  2 Pr 3.43, 6 Sm 3.54
Sm (0.2843, 0.2843, 0.1470)  4 Y 3.51-3.53, 3 Dy 3.54, 1 Pr 3.60
Sm (0.7157, 0.7157, 0.8530)  4 Y 3.51-3.53, 3 Dy 3.54, 1 Pr 3.60
Pr (0.1388, 0.1388, 0.5837)  1 Dy 3.43, 3 Y 3.51, 1 Sm 3.60, 3 Pr 3.61
Pr (0.8612, 0.8612, 0.4163)  1 Dy 3.43, 3 Y 3.51, 1 Sm 3.60, 3 Pr 3.61

## Properties
Fermi-level density of states: 16.219 states/eV per cell
DFT formation energy: 0.128 eV per atom

***

(11)
Computed, not measured: crystalline La2ScZn2 at its relaxed geometry at the PBE level of DFT.

Cell: 3.6672 3.6672 10.5245 Å, 79.97 79.97 90.00°
With the nearest neighbours (Å) after each atom.
Atoms (fractional coordinates):
La (0.6163, 0.6163, 0.7674)  4 Zn 3.29, 4 Sc 3.51, 4 La 3.67
La (0.3837, 0.3837, 0.2326)  4 Zn 3.29, 4 Sc 3.51, 4 La 3.67
Zn (0.2500, 0.7500, 0.5000)  4 Zn 2.59
Zn (0.7500, 0.2500, 0.5000)  4 Zn 2.59
Sc (0.0000, 0.0000, 0.0000)  8 La 3.51, 4 Sc 3.67

## Properties
Fermi-level density of states: 7.595 states/eV per cell
DFT formation energy: 0.067 eV per atom
Relative energy among the computed polymorphs: 1.14 eV per formula unit

***

(12)
Computed, not measured: crystalline Pr3DyIr8 at its relaxed geometry at the PBE level of DFT.

Cell: 5.4381 5.4381 9.4113 Å, 73.21 73.21 60.00°
With the nearest neighbours (Å) after each atom.
Atoms (fractional coordinates):
Ir (0.9379, 0.9379, 0.6846)  6 Ir 2.70-2.74
Ir (0.4369, 0.4369, 0.1904)  6 Ir 2.69-2.74
Ir (0.9359, 0.4369, 0.1904)  6 Ir 2.69-2.74
Ir (0.6875, 0.6875, 0.9375)  6 Ir 2.74
Ir (0.9379, 0.4396, 0.6846)  6 Ir 2.70-2.74
Ir (0.4396, 0.9379, 0.6846)  6 Ir 2.70-2.74
Ir (0.4369, 0.9359, 0.1904)  6 Ir 2.69-2.74
Ir (0.1877, 0.1877, 0.4370)  6 Ir 2.69-2.70
Pr (0.9995, 0.9995, 0.0014)  12 Ir 3.19-3.22, 1 Dy 3.32, 3 Pr 3.34
Pr (0.3751, 0.3751, 0.8746)  12 Ir 3.19-3.21, 4 Pr 3.33-3.34
Pr (0.5003, 0.5003, 0.4991)  12 Ir 3.16-3.19, 3 Dy 3.33, 1 Pr 3.33
Dy (0.8748, 0.8748, 0.3756)  12 Ir 3.16-3.19, 4 Pr 3.32-3.33

## Properties
Fermi-level density of states: 10.034 states/eV per cell
DFT formation energy: -0.695 eV per atom

***

> Which formula does entry 12 have?

Pr3DyIr8

***

> What is the Fermi-level density of states in the first record?

9.632 states/eV per cell